(1)
Density functional theory data (PBE) for a geometry-optimized LiAc2PaPd6 structure.

```
LiAc2PaPd6
1.0
-6.457 -1.589 1.534
2.249 -6.781 -0.405
0.582 -5.242 4.836
Pd Li Ac Pa
6 1 2 1
direct
0.091 0.249 0.158
0.242 0.754 0.996
0.909 0.751 0.842
0.242 0.239 0.512
0.758 0.246 0.004
0.758 0.761 0.488
0.000 0.000 0.000
0.283 0.732 0.449
0.717 0.268 0.551
0.500 0.500 0.000
```

Output
ΔE_f = -0.567 eV/atom
space group = P-1
size of the total moment = 0.000 μB per cell
DOS at the Fermi energy = 6.60 states/eV per cell

(2)
Density functional theory data (PBE) for a geometry-optimized TbDy4Au5 structure.

```
TbDy4Au5
1.0
3.574 0.000 0.000
0.000 3.574 0.000
0.000 0.000 18.283
Au Dy Tb
5 4 1
direct
0.500 0.500 0.700
0.500 0.500 0.300
0.500 0.500 0.899
0.500 0.500 0.500
0.500 0.500 0.101
0.000 0.000 0.201
0.000 0.000 0.600
0.000 0.000 0.799
0.000 0.000 0.400
0.000 0.000 0.000
```

Output
ΔE_f = -0.862 eV/atom
space group = P4/mmm
size of the total moment = 0.000 μB per cell
DOS at the Fermi energy = 4.00 states/eV per cell

(3)
Density functional theory data (PBE) for a geometry-optimized Th2PaAl structure.

```
Th2PaAl
1.0
-3.469 2.024 -2.266
-0.463 -3.915 -2.787
-3.147 -1.869 3.149
Th Pa Al
2 1 1
direct
0.000 0.500 0.000
0.000 0.000 0.500
0.500 0.500 0.500
0.500 0.000 0.000
```

Output
ΔE_f = -0.026 eV/atom
space group = P4/mmm
size of the total moment = 0.000 μB per cell
distance to the lowest polymorph of the same formula = 0.000 eV per atom
DOS at the Fermi energy = 7.09 states/eV per cell

(4)
Density functional theory data (PBE) for a geometry-optimized CsSbTeI2 structure.

```
CsSbTeI2
1.0
-4.206 0.769 -4.570
-0.141 -6.190 -0.912
-4.291 -0.473 3.870
I Cs Sb Te
2 1 1 1
direct
0.000 0.500 0.000
0.500 0.000 0.000
0.500 0.500 0.500
0.000 0.000 0.000
0.000 0.000 0.500
```

Output
space group = P4/mmm
size of the total moment = 0.000 μB per cell
distance to the lowest polymorph of the same formula = 0.000 eV per atom
uncorrected formation energy = -0.5902 eV per atom
DOS at the Fermi energy = 1.43 states/eV per cell

(5)
Density functional theory data (PBE) for a geometry-optimized TmPuIrO6 structure.

```
TmPuIrO6
1.0
5.538 0.000 0.000
-2.769 4.796 0.000
0.000 0.000 8.621
Ir O Tm Pu
2 12 2 2
direct
0.000 0.000 0.000
0.000 0.000 0.500
0.015 0.326 0.623
0.326 0.310 0.377
0.310 0.985 0.623
0.985 0.310 0.123
0.690 0.674 0.123
0.674 0.690 0.623
0.690 0.015 0.377
0.326 0.015 0.123
0.015 0.690 0.877
0.674 0.985 0.877
0.310 0.326 0.877
0.985 0.674 0.377
0.667 0.333 0.750
0.333 0.667 0.250
0.667 0.333 0.250
0.333 0.667 0.750
```

Output
space group = P-31c
size of the total moment = 3.998 μB per cell
uncorrected formation energy = -2.1452 eV per atom
DOS at the Fermi energy = 10.28 states/eV per cell

(6)
Density functional theory data (PBE) for a geometry-optimized HoCdPb3 structure.

```
HoCdPb3
1.0
5.372 0.000 0.000
0.000 6.524 0.000
0.000 0.000 8.868
Pb Cd Ho
6 2 2
direct
0.000 0.251 0.269
0.500 0.500 0.086
0.000 0.000 0.914
0.500 0.751 0.731
0.500 0.249 0.731
0.000 0.749 0.269
0.500 0.500 0.430
0.000 0.000 0.570
0.500 0.000 0.108
0.000 0.500 0.892
```

Output
ΔE_f = -0.026 eV/atom
space group = Pmmn
size of the total moment = 0.000 μB per cell
distance to the lowest polymorph of the same formula = 0.119 eV per atom
DOS at the Fermi energy = 4.95 states/eV per cell

(7)
Density functional theory data (PBE) for a geometry-optimized Tb2Ho2Au3 structure.

```
Tb2Ho2Au3
1.0
4.833 -0.003 -1.357
-2.608 4.294 -0.007
-0.154 -0.102 8.828
Ho Au Tb
2 3 2
direct
0.750 0.375 0.124
0.250 0.625 0.876
0.000 0.000 0.000
0.489 0.244 0.734
0.511 0.756 0.266
0.249 0.125 0.374
0.751 0.875 0.626
```

Output
ΔE_f = -0.689 eV/atom
space group = P-1
size of the total moment = 0.000 μB per cell
DOS at the Fermi energy = 5.20 states/eV per cell

(8)
Density functional theory data (PBE) for a geometry-optimized LiNdCdPb structure.

```
LiNdCdPb
1.0
4.399 0.000 0.000
0.000 4.754 0.000
0.000 0.000 5.003
Nd Cd Li Pb
1 1 1 1
direct
0.500 0.000 0.500
0.000 0.000 0.000
0.500 0.500 0.000
0.000 0.500 0.500
```

Output
ΔE_f = -0.364 eV/atom
space group = Pmmm
size of the total moment = 0.000 μB per cell
distance to the lowest polymorph of the same formula = 0.015 eV per atom
DOS at the Fermi energy = 1.80 states/eV per cell

(9)
Density functional theory data (PBE) for a geometry-optimized Nb6CrRe structure.

```
Nb6CrRe
1.0
4.360 0.000 1.313
-0.396 4.342 1.313
0.178 0.195 7.304
Nb Cr Re
6 1 1
direct
0.381 0.881 0.238
0.119 0.619 0.762
0.881 0.381 0.238
0.252 0.252 0.496
0.619 0.119 0.762
0.748 0.748 0.504
0.500 0.500 0.000
0.000 0.000 0.000
```

Output
ΔE_f = -0.082 eV/atom
space group = I4/mmm
size of the total moment = 0.000 μB per cell
DOS at the Fermi energy = 7.48 states/eV per cell

(10)
Density functional theory data (PBE) for a geometry-optimized Er5ThSb2 structure.

```
Er5ThSb2
1.0
4.078 0.000 0.000
-2.039 6.022 0.000
0.000 0.000 19.191
Er Sb Th
10 4 2
direct
0.954 0.908 0.884
0.363 0.727 0.477
0.637 0.273 0.977
0.046 0.092 0.116
0.363 0.727 0.023
0.046 0.092 0.384
0.604 0.209 0.250
0.954 0.908 0.616
0.396 0.791 0.750
0.637 0.273 0.523
0.241 0.482 0.876
0.241 0.482 0.624
0.759 0.518 0.376
0.759 0.518 0.124
0.667 0.334 0.750
0.333 0.666 0.250
```

Output
space group = Cmcm
size of the total moment = 0.002 μB per cell
uncorrected formation energy = -0.4653 eV per atom
DOS at the Fermi energy = 17.74 states/eV per cell

(11)
Density functional theory data (PBE) for a geometry-optimized TcAg2Br structure.

```
TcAg2Br
1.0
7.914 0.000 0.000
0.000 7.914 0.000
3.957 3.957 2.716
Br Ag Tc
2 4 2
direct
0.500 0.500 0.000
0.250 0.750 0.500
0.117 0.625 0.250
0.633 0.125 0.250
0.875 0.883 0.750
0.375 0.367 0.750
0.750 0.250 0.500
0.000 0.000 0.000
```

Output
space group = I-42d
size of the total moment = 6.544 μB per cell
distance to the lowest polymorph of the same formula = 0.431 eV per atom
uncorrected formation energy = 0.8448 eV per atom
DOS at the Fermi energy = 6.98 states/eV per cell

(12)
Density functional theory data (PBE) for a geometry-optimized BaP2N2 structure.

```
BaP2N2
1.0
3.461 0.000 0.000
0.000 3.461 0.000
1.731 1.731 6.563
P Ba N
2 1 2
direct
0.750 0.250 0.500
0.250 0.750 0.500
0.000 0.000 0.000
0.615 0.615 0.770
0.385 0.385 0.230
```

Output
space group = I4/mmm
size of the total moment = 1.410 μB per cell
distance to the lowest polymorph of the same formula = 0.084 eV per atom
uncorrected formation energy = 0.9448 eV per atom
DOS at the Fermi energy = 3.11 states/eV per cell

(13)
Density functional theory data (PBE) for a geometry-optimized CsRu3Se structure.

```
CsRu3Se
1.0
4.770 0.000 0.000
0.000 4.770 0.000
0.000 0.000 4.770
Ru Se Cs
3 1 1
direct
0.000 0.500 0.000
0.000 0.000 0.500
0.500 0.000 0.000
0.000 0.000 0.000
0.500 0.500 0.500
```

Output
space group = Pm-3m
size of the total moment = 2.536 μB per cell
distance to the lowest polymorph of the same formula = 0.000 eV per atom
uncorrected formation energy = 1.2284 eV per atom
DOS at the Fermi energy = 6.78 states/eV per cell

(14)
Density functional theory data (PBE) for a geometry-optimized ZrSc2Ta structure.

```
ZrSc2Ta
1.0
5.502 0.000 0.000
2.028 5.114 0.000
-3.765 -2.557 3.091
Sc Ta Zr
2 1 1
direct
0.000 0.000 0.000
0.500 0.500 0.000
0.250 0.750 0.500
0.750 0.250 0.500
```

Output
ΔE_f = 0.149 eV/atom
space group = I4/mmm
size of the total moment = 0.000 μB per cell
DOS at the Fermi energy = 5.06 states/eV per cell

(15)
Density functional theory data (PBE) for a geometry-optimized Sm4Dy11Tm9 structure.

```
Sm4Dy11Tm9
1.0
-1.632 -3.049 -1.176
1.183 -5.926 13.717
-12.766 7.600 -1.986
Sm Dy Tm
4 11 9
direct
0.500 0.554 0.756
0.500 0.244 0.446
0.500 0.446 0.244
0.500 0.756 0.554
0.000 0.044 0.407
0.000 0.634 0.366
0.000 0.593 0.956
0.000 0.160 0.840
0.000 0.366 0.634
0.000 0.000 0.000
0.000 0.711 0.711
0.000 0.289 0.289
0.000 0.956 0.593
0.000 0.840 0.160
0.000 0.407 0.044
0.500 0.367 0.837
0.500 0.633 0.163
0.500 0.212 0.066
0.500 0.788 0.934
0.500 0.837 0.367
0.500 0.500 0.500
0.500 0.163 0.633
0.500 0.934 0.788
0.500 0.066 0.212
```

Output
ΔE_f = 0.058 eV/atom
space group = Cmmm
size of the total moment = 0.005 μB per cell
DOS at the Fermi energy = 29.70 states/eV per cell

(16)
Density functional theory data (PBE) for a geometry-optimized FeTe2Os structure.

```
FeTe2Os
1.0
-0.841 -7.960 -0.660
2.367 -7.674 0.027
0.152 -7.642 2.464
Fe Te Os
1 2 1
direct
0.250 0.250 0.250
0.504 0.504 0.504
0.996 0.996 0.996
0.750 0.750 0.750
```

Output
space group = R-3m
size of the total moment = 1.640 μB per cell
distance to the lowest polymorph of the same formula = 0.452 eV per atom
uncorrected formation energy = 0.6109 eV per atom
DOS at the Fermi energy = 2.98 states/eV per cell

(17)
Density functional theory data (PBE) for a geometry-optimized GaHg2H2 structure.

```
GaHg2H2
1.0
6.516 0.000 0.000
0.000 6.516 0.000
0.000 0.000 3.967
Ga Hg H
2 4 4
direct
0.500 0.500 0.000
0.000 0.000 0.000
0.330 0.170 0.500
0.170 0.670 0.500
0.670 0.830 0.500
0.830 0.330 0.500
0.829 0.329 0.000
0.329 0.171 0.000
0.671 0.829 0.000
0.171 0.671 0.000
```

Output
space group = P4/mbm
size of the total moment = 0.000 μB per cell
distance to the lowest polymorph of the same formula = 0.281 eV per atom
DOS at the Fermi energy = 2.38 states/eV per cell

(18)
Density functional theory data (PBE) for a geometry-optimized MnCoSb structure.

```
MnCoSb
1.0
3.996 0.000 0.000
0.000 5.101 -0.279
0.000 -1.445 4.897
Sb Co Mn
2 2 2
direct
0.846 0.571 0.642
0.346 0.182 0.862
0.346 0.263 0.387
0.846 0.490 0.118
0.846 0.993 0.146
0.346 0.760 0.359
```

Output
space group = P2_1/m
size of the total moment = 7.692 μB per cell
uncorrected formation energy = 0.0751 eV per atom
DOS at the Fermi energy = 4.27 states/eV per cell

(19)
Density functional theory data (PBE) for a geometry-optimized La4SiAsI2 structure.

```
La4SiAsI2
1.0
4.412 0.000 0.000
0.000 7.640 0.135
0.000 -2.682 7.764
I La As Si
2 4 1 1
direct
0.000 0.500 0.500
0.500 0.000 0.500
0.500 0.229 0.200
0.500 0.771 0.800
0.000 0.263 0.800
0.000 0.737 0.200
0.500 0.500 0.000
0.000 0.000 0.000
```

Output
space group = P2/m
size of the total moment = 0.000 μB per cell
uncorrected formation energy = -1.2245 eV per atom
DOS at the Fermi energy = 3.86 states/eV per cell

(20)
Density functional theory data (PBE) for a geometry-optimized NbHg structure.

```
NbHg
1.0
8.846 0.000 0.000
0.000 8.846 0.000
0.000 0.000 8.846
Nb Hg
8 8
direct
0.104 0.104 0.104
0.604 0.604 0.604
0.604 0.396 0.396
0.396 0.396 0.604
0.396 0.604 0.396
0.896 0.896 0.104
0.104 0.896 0.896
0.896 0.104 0.896
0.705 0.295 0.705
0.795 0.205 0.205
0.205 0.795 0.205
0.705 0.705 0.295
0.205 0.205 0.795
0.295 0.295 0.295
0.295 0.705 0.705
0.795 0.795 0.795
```

Output
ΔE_f = 1.001 eV/atom
space group = I-43m
size of the total moment = 0.000 μB per cell
DOS at the Fermi energy = 6.46 states/eV per cell

(21)
Density functional theory data (PBE) for a geometry-optimized Sm2Sc3Pb4 structure.

```
Sm2Sc3Pb4
1.0
7.931 -0.170 0.000
-2.766 7.640 0.000
0.000 0.000 8.114
Pb Sc Sm
8 6 4
direct
0.358 0.499 0.358
0.663 0.911 0.047
0.858 0.499 0.142
0.642 0.501 0.642
0.337 0.089 0.953
0.837 0.089 0.547
0.142 0.501 0.858
0.163 0.911 0.453
0.758 0.752 0.346
0.000 0.500 0.500
0.500 0.500 0.000
0.742 0.248 0.846
0.242 0.248 0.654
0.258 0.752 0.154
0.055 0.192 0.179
0.945 0.808 0.821
0.445 0.808 0.679
0.555 0.192 0.321
```

Output
ΔE_f = -0.544 eV/atom
space group = P2_1/c
size of the total moment = 0.000 μB per cell
DOS at the Fermi energy = 12.19 states/eV per cell

(22)
Density functional theory data (PBE) for a geometry-optimized MnPPbAu2 structure.

```
MnPPbAu2
1.0
-0.881 -4.056 -2.005
5.664 -1.781 1.115
-1.340 -1.717 4.062
Au P Mn Pb
2 1 1 1
direct
0.000 0.000 0.500
0.500 0.000 0.000
0.000 0.000 0.000
0.500 0.500 0.500
0.000 0.500 0.000
```

Output
ΔE_f = 0.523 eV/atom
space group = P4/mmm
size of the total moment = 4.379 μB per cell
distance to the lowest polymorph of the same formula = 0.000 eV per atom
DOS at the Fermi energy = 2.20 states/eV per cell

(23)
Density functional theory data (PBE) for a geometry-optimized Zn2CrRh3 structure.

```
Zn2CrRh3
1.0
3.012 0.000 0.000
0.000 3.012 0.000
0.000 0.000 9.095
Zn Rh Cr
2 3 1
direct
0.500 0.500 0.837
0.500 0.500 0.163
0.000 0.000 0.000
0.000 0.000 0.337
0.000 0.000 0.663
0.500 0.500 0.500
```

Output
ΔE_f = -0.283 eV/atom
space group = P4/mmm
size of the total moment = 2.208 μB per cell
DOS at the Fermi energy = 6.13 states/eV per cell